Mn2OsRh | PBE | optimized geometry

Structure (POSCAR):
```
Mn2OsRh
1.0
8.585 -0.006 -0.004
8.178 2.612 -0.004
8.178 1.272 2.282
Mn Os Rh
2 1 1
Cartesian
0.002 0.000 0.000
12.468 1.939 1.137
6.235 0.969 0.569
18.705 2.908 1.706
```

Results
- total DFT energy (no corrections) (eV/atom) = -9.13
- ΔH_f (0 K) (eV/atom) = 0.104
- Fermi-level density of states (states/eV per cell) = 4.00
- spin magnetization (μB/cell) = 1.62
- crystal system = trigonal